Record 1
# SmYMg2Hg4

A geometry-optimized SmYMg2Hg4 structure (GGA-PBE, the Alexandria database).

It has space group R-3m (No. 166, hexagonal axes), with a = 5.1030 Å, b = 5.1030 Å, c = 25.0805 Å, α = 90.00°, β = 90.00° and γ = 120.00°. The asymmetric unit holds Sm at (0.0000, 0.0000, 0.0000), Y at (0.0000, 0.0000, 0.5000), Mg at (0.0000, 0.0000, 0.2497), Hg at (0.0000, 0.0000, 0.1261) and Hg at (0.0000, 0.0000, 0.3766).

As for the uncorrected energy: -2.42 eV per atom. The formation energy from the elements is -45.3 kJ per mole of atoms. Its magnetic moment is 0.0 μB per formula unit.

***

Record 2
# BaMoAu2

A geometry-optimized BaMoAu2 structure (GGA-PBE, the Alexandria database).

It has space group P4mm (No. 99), with a = 3.791 Å, b = 3.791 Å, c = 7.240 Å, α = 90.00°, β = 90.00° and γ = 90.00°. The asymmetric unit holds Ba at (0.000, 0.000, 0.000), Mo at (0.500, 0.500, 0.363), Au at (0.000, 0.000, 0.474) and Au at (0.500, 0.500, 0.738).

Its offset from the most stable computed form is 335 meV per atom. As for the uncorrected energy: -4.43 eV per atom. The formation energy from the elements is 38.8 kJ per mole of atoms. Its magnetic moment is 3.4 μB per formula unit.

***

Q: Among the records above, which one has the highest magnetic moment?
A: BaMoAu2

***

Q: Look up the formation energy from the elements of the first one.
A: -45.3 kJ per mole of atoms

***

Q: uncorrected energy of number 2 (BaMoAu2)?
A: -4.43 eV per atom

***

Q: Among the records above, which one has the lowest formation energy from the elements?
A: SmYMg2Hg4